VBiOF2 (PBE with a Hubbard U, optimized geometry); symmetry = P4/mmm; ΔE to the lowest computed polymorph = 0.6177 eV per atom
1.0
4.5814 0.0000 0.0000
0.0000 4.5814 0.0000
0.0000 0.0000 4.5518
F Bi O V
2 1 1 1
Direct
0.0000 0.5000 0.0000 F
0.5000 0.0000 0.0000 F
0.0000 0.0000 0.0000 Bi
0.0000 0.0000 0.5000 O
0.5000 0.5000 0.5000 V